RbHfHgSe2, optimized geometry, DFT PBE; total magnetic moment = 0.00 μB per formula unit; symmetry = P4/mmm (123); energy relative to the elements, uncorrected = -0.828 eV/atom
1.0
-4.0925 0.7336 3.2236
0.6234 -4.8666 1.8989
3.5192 2.0151 4.0091
Se Rb Hg Hf
2 1 1 1
Cartesian
-2.0462 0.3668 1.6118
0.3117 -2.4333 0.9494
0.0251 -1.0590 4.5658
1.7596 1.0075 2.0045
0.0000 0.0000 0.0000



MnAl2In, optimized geometry, DFT PBE; total magnetic moment = 2.57 μB per formula unit; symmetry = C2/m (12)
1.0
-1.2435 4.4028 2.0141
-3.2437 2.4485 2.9106
2.2513 -0.3046 4.3594
In Al Mn
1 2 1
Cartesian
-1.6769 4.9101 6.9630
-1.2723 3.4121 4.6001
-4.3329 6.7126 4.9666
-0.5590 1.6367 2.3210



YSc2Hg, optimized geometry, DFT PBE; total magnetic moment = 0.00 μB per formula unit; symmetry = R-3m (166)
1.0
10.2921 -0.0162 -0.0095
9.7218 3.3787 -0.0095
9.7218 1.6333 2.9577
Y Hg Sc
1 1 2
Cartesian
7.4339 1.2489 0.7346
22.3017 3.7468 2.2039
0.2369 0.0398 0.0234
14.6309 2.4581 1.4459



| no. | uncorrected energy (eV per formula unit) |
| --- | --- |
| 1 | -22.33 |
| 2 | -19.00 |
| 3 | -19.84 |